# 1
This record from the Alexandria database describes a relaxed SmAgO3 crystal. The functional is GGA-PBE.

Geometry as POSCAR:
```
SmAgO3
1.0
4.070 0.000 0.000
0.000 4.070 0.000
0.000 0.000 4.070
O Ag Sm
3 1 1
direct
0.000 0.500 0.000 O
0.500 0.000 0.000 O
0.000 0.000 0.500 O
0.000 0.000 0.000 Ag
0.500 0.500 0.500 Sm
```

Computed properties:
DOS at the Fermi energy, states/eV per atom: 0.372
Total magnetization, μB/f.u.: 0.000
DFT total energy, Ry/atom: -0.423

# 2
This record from the Alexandria database describes a relaxed Sm2AgO crystal. The functional is GGA-PBE.

Geometry as POSCAR:
```
Sm2AgO
1.0
-0.611 2.396 -2.795
-3.480 1.084 -0.800
-0.709 6.600 3.323
Sm O Ag
2 1 1
direct
0.271 0.271 0.188 Sm
0.729 0.729 0.812 Sm
0.000 0.000 0.000 O
0.500 0.500 0.500 Ag
```

Computed properties:
DOS at the Fermi energy, states/eV per atom: 0.658
Total magnetization, μB/f.u.: 0.000
DFT total energy, Ry/atom: -0.415

# 3
This record from the Alexandria database describes a relaxed SmTc2AgO8 crystal. The functional is GGA-PBE.

Geometry as POSCAR:
```
SmTc2AgO8
1.0
6.102 0.000 0.000
-3.051 5.284 0.000
0.000 0.000 6.682
O Tc Sm Ag
8 2 1 1
direct
0.343 0.172 0.283 O
0.829 0.657 0.283 O
0.828 0.171 0.283 O
0.667 0.333 0.937 O
0.172 0.829 0.717 O
0.657 0.828 0.717 O
0.171 0.343 0.717 O
0.333 0.667 0.063 O
0.333 0.667 0.804 Tc
0.667 0.333 0.196 Tc
0.000 0.000 0.500 Sm
0.000 0.000 0.000 Ag
```

Computed properties:
DOS at the Fermi energy, states/eV per atom: 0.480
Total magnetization, μB/f.u.: 2.048
DFT total energy, Ry/atom: -0.533